Entry from the Alexandria database: a relaxed Th3Zn4Cd4 crystal (PBE-GGA).

Results
The calculation puts the formation energy at -17.1 kJ/mol of atoms. As for the space group: Immm. Its density is 9.294 g/cm³.

Cell and atoms, written as POSCAR:
```
Th3Zn4Cd4
1.0
4.411 0.000 -1.214
-0.824 6.657 -2.992
0.006 -0.166 8.642
Zn Cd Th
4 4 3
direct
0.220 0.720 0.440
0.500 0.818 0.000
0.780 0.280 0.560
0.500 0.182 0.000
0.669 0.476 0.339
0.331 0.524 0.661
0.331 0.137 0.661
0.669 0.863 0.339
0.000 0.500 0.000
0.882 0.882 0.763
0.118 0.118 0.237
```